4
Lattice="-3.185 -1.109 -1.819 1.565 -4.278 -0.131 -0.742 -0.444 5.606" Properties=species:S:1:pos:R:3 comment="PBE LaTbPdRh, optimized geometry" rho_g_cm3=9.0 total_magnetization_mub_per_atom=0.000 ef_ev_per_atom=-0.827 polymorph_energy_mev_per_atom=0 dft_energy_ev_per_atom=-6.352 crystal_system=orthorhombic sg=Amm2 volume_a3_per_cell=93.2 pbc="T T T"
Pd -1.198 -2.859 -0.194
Rh -1.891 -0.808 3.804
Tb -2.521 -3.425 2.468
La -0.679 -0.290 1.367